Entry 1:
DFT (PBE) results for a relaxed V4Ni12Mo crystal.

```
17
Lattice="-4.1981 -3.4858 -3.4818 2.2865 4.8605 -3.6118 4.9045 -3.7811 1.8832" Properties=species:S:1:pos:R:3 pbc="T T T"
V 2.4522 -1.8906 0.9416
V -2.0990 -1.7429 -1.7409
V 1.4965 -1.2032 -2.6052
V 1.1432 2.4302 -1.8059
Ni 2.2134 0.3322 -0.5321
Ni 4.9776 0.7471 -1.1966
Ni -1.3232 0.9515 -4.9102
Ni -0.5884 0.4231 -2.1834
Ni 0.2174 -2.2368 -0.4921
Ni 0.4890 -5.0302 -1.1065
Ni 2.1510 -3.3636 -1.2315
Ni 0.8420 0.9572 -3.9790
Ni -0.1247 -3.2898 -2.5727
Ni 3.1176 0.8833 -2.6377
Ni -0.7792 -1.1294 -3.9465
Ni 3.7721 -1.2771 -1.2640
Mo 0.0000 0.0000 0.0000
```

Results
- formation enthalpy at 0 K (meV per atom) = 102
- SG = Im-3m, No. 229

=====

Entry 2:
DFT (PBE) results for a relaxed VNiMo3 crystal.

```
5
Lattice="4.4657 0.0000 0.0000 0.0000 4.4657 0.0000 0.0000 0.0000 4.4657" Properties=species:S:1:pos:R:3 pbc="T T T"
Ni 0.0000 0.0000 0.0000
Mo 0.0000 2.2329 0.0000
Mo 0.0000 0.0000 2.2329
Mo 2.2329 0.0000 0.0000
V 2.2329 2.2329 2.2329
```

Results
- formation enthalpy at 0 K (meV per atom) = 1413
- SG = Pm-3m, No. 221

=====

Entry 3:
DFT (PBE) results for a relaxed V3NiMo crystal.

```
5
Lattice="-3.2010 -1.4440 2.7959 1.0923 -4.2501 -0.9446 2.9511 0.0067 3.3822" Properties=species:S:1:pos:R:3 pbc="T T T"
Ni 0.4212 -2.8437 2.6168
Mo 0.0000 0.0000 0.0000
V 0.5461 -2.1250 -0.4723
V 1.4756 0.0034 1.6911
V -1.6005 -0.7220 1.3979
```

Results
- formation enthalpy at 0 K (meV per atom) = 1488
- ΔE to the lowest computed polymorph (eV per atom) = 0.480
- SG = Pm-3m, No. 221

=====

Entry 4:
DFT (PBE) results for a relaxed V3NiMo crystal.

```
5
Lattice="-3.5703 1.6550 1.7162 -2.3493 -1.9153 -3.0403 -0.4064 -3.4675 2.4984" Properties=species:S:1:pos:R:3 pbc="T T T"
Ni 0.0000 0.0000 0.0000
Mo -3.1630 -1.8639 0.5871
V -1.1746 -0.9576 -1.5202
V -0.2032 -1.7338 1.2492
V -1.7851 0.8275 0.8581
```

Results
- formation enthalpy at 0 K (meV per atom) = 1008
- ΔE to the lowest computed polymorph (eV per atom) = 0.000
- SG = Pm-3m, No. 221

=====

Entry 5:
DFT (PBE) results for a relaxed VNi14Mo crystal.

```
16
Lattice="5.0513 -0.0108 0.0000 0.0106 5.0513 0.0000 0.0000 0.0000 7.0422" Properties=species:S:1:pos:R:3 pbc="T T T"
V 1.8982 1.8902 3.5211
Ni 4.4293 4.4105 0.0000
Ni 1.8982 1.8902 0.0000
Ni 4.4239 1.8848 3.5211
Ni 4.4239 1.8848 0.0000
Ni 1.9036 4.4158 3.5211
Ni 1.9035 4.4159 0.0000
Ni 3.1482 0.6350 1.7565
Ni 3.1482 0.6350 5.2857
Ni 0.6484 3.1454 1.7565
Ni 0.6484 3.1454 5.2857
Ni 3.1532 3.1398 1.7565
Ni 3.1532 3.1398 5.2857
Ni 0.6433 0.6406 1.7566
Ni 0.6433 0.6406 5.2856
Mo 4.4292 4.4104 3.5211
```

Results
- formation enthalpy at 0 K (meV per atom) = -68
- SG = P4/mmm, No. 123

=====

Entry 6:
DFT (PBE) results for a relaxed V2Ni9Mo crystal.

```
12
Lattice="3.5959 0.0000 0.0000 0.0000 3.5959 0.0000 0.0000 0.0000 10.7725" Properties=species:S:1:pos:R:3 pbc="T T T"
V 0.0000 0.0000 3.6240
V 0.0000 0.0000 7.1485
Ni 1.7980 1.7980 0.0000
Ni 1.7980 1.7980 3.6142
Ni 1.7980 1.7980 7.1582
Ni 1.7980 0.0000 1.8400
Ni 1.7980 0.0000 5.3862
Ni 1.7980 0.0000 8.9325
Ni 0.0000 1.7980 1.8400
Ni 0.0000 1.7980 5.3862
Ni 0.0000 1.7980 8.9325
Mo 0.0000 0.0000 0.0000
```

Results
- formation enthalpy at 0 K (meV per atom) = -79
- SG = P4/mmm, No. 123